[1]
CaMg2As2, relaxed, DFT PBEsol; formation energy = -0.74 eV/atom; calculated total energy = -3.90 eV/atom
1.0
4.155 0.000 0.000
0.000 4.155 0.000
-2.077 -2.077 6.555
Mg As Ca
2 2 1
direct
0.750 0.250 0.500 Mg
0.250 0.750 0.500 Mg
0.623 0.623 0.246 As
0.377 0.377 0.754 As
0.000 0.000 0.000 Ca


[2]
Ca2MgAs, relaxed, DFT PBEsol; formation energy = -0.53 eV/atom; calculated total energy = -3.30 eV/atom
1.0
3.766 0.000 0.000
0.000 4.792 0.000
-1.883 -2.396 6.038
Ca As Mg
2 1 1
direct
0.056 0.556 0.111 Ca
0.253 0.253 0.507 Ca
0.759 0.759 0.519 As
0.432 0.932 0.863 Mg


[3]
CaMgAs2, relaxed, DFT PBEsol; formation energy = -0.56 eV/atom; calculated total energy = -4.08 eV/atom
1.0
4.056 0.000 0.000
0.000 4.028 0.000
-2.028 -2.014 5.067
As Ca Mg
2 1 1
direct
0.000 0.000 0.001 As
0.249 0.749 0.498 As
0.500 0.500 0.000 Ca
0.751 0.251 0.502 Mg


[4]
Ca3Mg2As3O12, relaxed, DFT PBEsol; calculated total energy = -6.62 eV/atom
1.0
10.783 0.000 0.000
-3.594 10.166 0.000
-3.594 -5.083 8.804
O Ca As Mg
48 12 12 8
direct
0.413 0.621 0.603 O
0.310 0.292 0.413 O
0.482 0.190 0.103 O
0.587 0.208 0.690 O
0.190 0.587 0.708 O
0.603 0.121 0.413 O
0.897 0.587 0.879 O
0.897 0.310 0.518 O
0.879 0.087 0.897 O
0.482 0.292 0.879 O
0.879 0.792 0.482 O
0.121 0.913 0.103 O
0.397 0.879 0.587 O
0.708 0.087 0.190 O
0.603 0.482 0.690 O
0.587 0.379 0.397 O
0.292 0.379 0.982 O
0.518 0.708 0.121 O
0.087 0.397 0.379 O
0.913 0.603 0.621 O
0.379 0.897 0.087 O
0.913 0.310 0.792 O
0.292 0.913 0.810 O
0.982 0.879 0.292 O
0.690 0.708 0.587 O
0.190 0.603 0.982 O
0.708 0.621 0.018 O
0.379 0.482 0.792 O
0.121 0.208 0.518 O
0.810 0.413 0.292 O
0.018 0.121 0.708 O
0.792 0.982 0.379 O
0.621 0.518 0.208 O
0.982 0.103 0.190 O
0.310 0.018 0.397 O
0.087 0.690 0.208 O
0.103 0.690 0.482 O
0.397 0.518 0.310 O
0.810 0.397 0.018 O
0.621 0.103 0.913 O
0.103 0.413 0.121 O
0.518 0.810 0.897 O
0.690 0.982 0.603 O
0.413 0.792 0.310 O
0.792 0.810 0.913 O
0.018 0.897 0.810 O
0.208 0.018 0.621 O
0.208 0.190 0.087 O
0.250 0.125 0.875 Ca
0.875 0.250 0.125 Ca
0.625 0.750 0.375 Ca
0.625 0.875 0.750 Ca
0.375 0.125 0.250 Ca
0.125 0.750 0.875 Ca
0.750 0.375 0.625 Ca
0.125 0.375 0.750 Ca
0.875 0.625 0.250 Ca
0.750 0.875 0.125 Ca
0.250 0.625 0.375 Ca
0.375 0.250 0.625 Ca
0.625 0.250 0.875 As
0.375 0.750 0.125 As
0.125 0.875 0.250 As
0.625 0.375 0.250 As
0.250 0.375 0.125 As
0.125 0.250 0.375 As
0.750 0.125 0.375 As
0.375 0.625 0.750 As
0.875 0.750 0.625 As
0.875 0.125 0.750 As
0.250 0.875 0.625 As
0.750 0.625 0.875 As
0.000 0.500 0.000 Mg
0.500 0.000 0.000 Mg
0.500 0.500 0.000 Mg
0.000 0.000 0.000 Mg
0.000 0.000 0.500 Mg
0.000 0.500 0.500 Mg
0.500 0.000 0.500 Mg
0.500 0.500 0.500 Mg


[5]
CaMg2AsW, relaxed, DFT PBEsol; formation energy = 0.54 eV/atom; calculated total energy = -4.35 eV/atom
1.0
4.761 0.000 0.000
0.000 5.015 0.000
0.000 0.000 5.015
Mg Ca As W
2 1 1 1
direct
0.000 0.500 0.000 Mg
0.000 0.000 0.500 Mg
0.500 0.500 0.500 Ca
0.000 0.000 0.000 As
0.500 0.000 0.000 W


[6]
CaMn2As, relaxed, DFT PBEsol; formation energy = -0.07 eV/atom; calculated total energy = -6.76 eV/atom
1.0
4.046 0.000 0.000
2.023 3.504 0.000
2.023 1.168 5.177
Mn As Ca
2 1 1
direct
0.177 0.177 0.468 Mn
0.823 0.823 0.532 Mn
0.500 0.500 0.500 As
0.000 0.000 0.000 Ca


[7]
CaMn2As, relaxed, DFT PBEsol; formation energy = -0.20 eV/atom; calculated total energy = -6.89 eV/atom
1.0
3.896 0.000 0.000
1.948 3.374 0.000
1.948 1.125 5.321
As Mn Ca
1 2 1
direct
0.459 0.459 0.622 As
0.050 0.050 0.849 Mn
0.739 0.739 0.784 Mn
0.252 0.252 0.245 Ca


[8]
CaMn2As2, relaxed, DFT PBEsol; formation energy = -0.43 eV/atom; calculated total energy = -6.80 eV/atom
1.0
3.889 0.000 0.000
-1.944 3.368 0.000
0.000 0.000 6.919
Mn Ca As
2 1 2
direct
0.333 0.667 0.387 Mn
0.667 0.333 0.613 Mn
0.000 0.000 0.000 Ca
0.333 0.667 0.728 As
0.667 0.333 0.272 As


[9]
CaMnAs2, relaxed, DFT PBEsol; formation energy = -0.21 eV/atom; calculated total energy = -5.73 eV/atom
1.0
-0.024 4.731 -0.459
0.318 1.970 -4.314
-3.770 2.184 -1.899
Mn As Ca
1 2 1
direct
0.000 0.000 0.000 Mn
0.250 0.250 0.250 As
0.750 0.750 0.750 As
0.500 0.500 0.500 Ca


[10]
CaMn2As, relaxed, DFT PBEsol; formation energy = 0.08 eV/atom; calculated total energy = -6.61 eV/atom
1.0
-1.833 -0.667 2.656
0.075 -3.794 -0.901
5.626 -0.298 1.721
Ca Mn As
1 2 1
direct
0.299 0.500 0.715 Ca
0.541 0.500 0.213 Mn
0.997 0.000 0.124 Mn
0.663 0.000 0.448 As


[11]
CaMo2As, relaxed, DFT PBEsol; formation energy = 0.02 eV/atom; calculated total energy = -7.68 eV/atom
1.0
3.248 0.000 0.000
0.000 3.248 0.000
0.000 0.000 7.036
Ca As Mo
1 1 2
direct
0.500 0.500 0.743 Ca
0.000 0.000 0.448 As
0.500 0.500 0.247 Mo
0.000 0.000 0.062 Mo


[12]
CaMoAs2, relaxed, DFT PBEsol; formation energy = -0.44 eV/atom; calculated total energy = -6.47 eV/atom
1.0
3.306 0.000 0.000
0.000 3.504 0.000
-1.653 -1.752 6.849
As Ca Mo
2 1 1
direct
0.722 0.222 0.444 As
0.931 0.931 0.863 As
0.550 0.550 0.100 Ca
0.297 0.797 0.594 Mo


[13]
CaMoAs2, relaxed, DFT PBEsol; formation energy = 0.39 eV/atom; calculated total energy = -5.64 eV/atom
1.0
-0.689 -2.124 4.115
1.053 -4.534 0.500
3.665 -1.277 2.618
Ca As Mo
1 2 1
direct
0.500 0.500 0.500 Ca
0.000 0.000 0.000 As
0.750 0.750 0.750 As
0.250 0.250 0.250 Mo


[14]
Ca2MoAs, relaxed, DFT PBEsol; formation energy = 0.00 eV/atom; calculated total energy = -5.29 eV/atom
1.0
3.463 0.000 0.000
0.000 5.162 -0.065
-1.731 -2.163 5.164
Ca As Mo
2 1 1
direct
0.039 0.060 0.079 Ca
0.238 0.722 0.475 Ca
0.780 0.252 0.559 As
0.443 0.467 0.887 Mo


[15]
CaMoAs2, relaxed, DFT PBEsol; formation energy = -0.19 eV/atom; calculated total energy = -6.22 eV/atom
1.0
-0.698 3.393 0.870
-3.733 -1.084 1.230
1.849 -0.863 4.849
Ca As Mo
1 2 1
direct
0.000 0.000 0.500 Ca
0.000 0.000 0.000 As
0.500 0.500 0.500 As
0.500 0.500 0.000 Mo


[16]
Na2CaMoAs, relaxed, DFT PBEsol; formation energy = 1.58 eV/atom; calculated total energy = -2.78 eV/atom
1.0
-2.073 2.120 3.793
-3.909 -3.282 -0.302
2.453 -3.210 3.134
Na Ca As Mo
2 1 1 1
direct
0.000 0.500 0.000 Na
0.000 0.000 0.500 Na
0.000 0.000 0.000 Ca
0.500 0.500 0.500 As
0.500 0.000 0.000 Mo


[17]
CaMoAs2S, relaxed, DFT PBEsol; calculated total energy = -5.44 eV/atom
1.0
-1.047 1.900 3.749
3.042 -3.118 2.430
3.765 3.220 -0.580
Ca S As Mo
1 1 2 1
direct
0.500 0.500 0.500 Ca
0.000 0.000 0.000 S
0.000 0.000 0.500 As
0.000 0.500 0.000 As
0.500 0.000 0.000 Mo


[18]
CaAs2N, relaxed, DFT PBEsol; calculated total energy = -5.18 eV/atom
1.0
5.834 0.008 0.012
-2.256 5.380 -0.012
-2.256 -2.384 4.823
As N Ca
4 2 2
direct
0.385 0.875 0.760 As
0.615 0.375 0.490 As
0.885 0.510 0.125 As
0.115 0.240 0.625 As
0.500 0.250 0.750 N
0.000 0.500 0.500 N
0.000 0.000 0.000 Ca
0.500 0.750 0.250 Ca


[19]
CaAs3N, relaxed, DFT PBEsol; calculated total energy = -5.07 eV/atom
1.0
-2.854 -2.712 2.043
2.742 -3.414 -0.702
2.002 0.811 3.874
Ca N As
1 1 3
direct
0.500 0.500 0.500 Ca
0.000 0.000 0.000 N
0.500 0.000 0.000 As
0.000 0.500 0.000 As
0.000 0.000 0.500 As


[20]
CaAsN2O, relaxed, DFT PBEsol; calculated total energy = -4.55 eV/atom
1.0
-1.052 -3.740 -1.463
4.219 -0.810 -0.964
0.583 -1.732 4.006
As N Ca O
1 2 1 1
direct
0.500 0.500 0.500 As
0.000 0.500 0.000 N
0.000 0.000 0.500 N
0.000 0.000 0.000 Ca
0.500 0.000 0.000 O